LiAcTeSe: optimized geometry, PBE.

a = 5.135 Å, b = 5.135 Å, c = 8.825 Å
α = 90.00°, β = 90.00°, γ = 90.00°
Fractional positions:
Li: 0.500 0.500 0.000
Li: 0.000 0.000 0.000
Ac: 0.500 0.000 0.684
Ac: 0.000 0.500 0.316
Te: 0.000 0.500 0.875
Te: 0.500 0.000 0.125
Se: 0.000 0.000 0.500
Se: 0.500 0.500 0.500

Results
- density of states at the Fermi level (states/eV per atom) = 0.0000
- polymorph energy (0 for the lowest one) (meV per atom) = 0
- size of the total moment (μB per cell) = 0.000
- raw formation energy (meV per atom) = -1458